Entry from the Alexandria database: Tb3SmMg after structural relaxation (PBE-GGA).

Cell lengths 3.468, 5.619, 16.003 Å; angles 90.00, 90.00, 90.00 degrees
Sites, in units of the cell vectors:
Tb 0.000 0.000 0.000
Tb 0.000 0.000 0.423
Tb 0.000 0.500 0.311
Tb 0.500 0.000 0.811
Tb 0.500 0.500 0.500
Tb 0.500 0.500 0.923
Sm 0.000 0.500 0.715
Sm 0.500 0.000 0.215
Mg 0.000 0.500 0.111
Mg 0.500 0.000 0.611

M_tot: 0.000 μB per formula unit


Entry from the Alexandria database: TbSmMg after structural relaxation (PBE-GGA).

Cell lengths 5.174, 13.358, 5.175 Å; angles 90.00, 90.00, 90.00 degrees
Sites, in units of the cell vectors:
Tb 0.000 0.090 0.250
Tb 0.000 0.910 0.750
Tb 0.500 0.410 0.750
Tb 0.500 0.590 0.250
Sm 0.000 0.410 0.250
Sm 0.000 0.590 0.750
Sm 0.500 0.090 0.750
Sm 0.500 0.910 0.250
Mg 0.000 0.250 0.750
Mg 0.000 0.750 0.250
Mg 0.500 0.250 0.250
Mg 0.500 0.750 0.750

excess energy over the best structure of this formula in the dataset: 0.009 eV per atom
M_tot: 0.000 μB per formula unit


Computed uncorrected energy (eV per atom) in order:
-4.00; -3.70
Computed DFT formation energy (eV per atom) in order:
0.04; -0.05